Here is a relaxed structure of Y10Bi3Te3 from the Alexandria database. Energies are from PBE.

Results
The energy relative to the elements, uncorrected comes out at -0.849 eV/atom. As for the space group: P-62m.

Lattice parameters (Å, degrees): 9.1249 9.1249 6.2767 90.00 90.00 120.00
Positions (direct):
1 Y 0.0000 0.2508 0.0000
2 Y 0.0000 0.7497 0.5000
3 Y 0.2503 0.2503 0.5000
4 Y 0.2508 0.0000 0.0000
5 Y 0.3333 0.6667 0.2487
6 Y 0.3333 0.6667 0.7513
7 Y 0.6667 0.3333 0.2487
8 Y 0.6667 0.3333 0.7513
9 Y 0.7492 0.7492 0.0000
10 Y 0.7497 0.0000 0.5000
11 Bi 0.0000 0.3883 0.5000
12 Bi 0.3883 0.0000 0.5000
13 Bi 0.6117 0.6117 0.5000
14 Te 0.0000 0.6149 0.0000
15 Te 0.3851 0.3851 0.0000
16 Te 0.6149 0.0000 0.0000



Here is a relaxed structure of Na2AlAs2Pd from the Alexandria database. Energies are from PBE.

Results
The calculation puts the formation energy at -11.2 kcal/mol of atoms. As for the space group: Ibam.

Lattice parameters (Å, degrees): 8.3482 8.3482 8.3482 140.46 58.93 138.16
Positions (direct):
1 Na 0.1755 0.2247 0.4002
2 Na 0.3245 0.7247 0.0492
3 Na 0.6755 0.2753 0.9508
4 Na 0.8245 0.7753 0.5998
5 Al 0.2500 0.7500 0.5000
6 Al 0.7500 0.2500 0.5000
7 As 0.1106 0.7304 0.8410
8 As 0.3894 0.2304 0.6199
9 As 0.6106 0.7696 0.3801
10 As 0.8894 0.2696 0.1590
11 Pd 0.2500 0.2500 0.0000
12 Pd 0.7500 0.7500 0.0000



Here is a relaxed structure of TbInF5 from the Alexandria database. Energies are from PBE.

Results
The energy relative to the elements, uncorrected comes out at -3.183 eV/atom. As for the space group: C2/c.

Lattice parameters (Å, degrees): 6.0436 6.0436 7.6783 106.76 106.76 77.19
Positions (direct):
1 Tb 0.0438 0.9562 0.7500
2 Tb 0.9562 0.0438 0.2500
3 In 0.5000 0.5000 0.0000
4 In 0.5000 0.5000 0.5000
5 F 0.1589 0.8257 0.0384
6 F 0.1743 0.8411 0.4616
7 F 0.2136 0.2820 0.3620
8 F 0.2820 0.2136 0.8620
9 F 0.3482 0.6518 0.7500
10 F 0.6518 0.3482 0.2500
11 F 0.7180 0.7864 0.1380
12 F 0.7864 0.7180 0.6380
13 F 0.8257 0.1589 0.5384
14 F 0.8411 0.1743 0.9616



Here is a relaxed structure of Y6GaTe3Se2 from the Alexandria database. Energies are from PBE.

Results
The energy relative to the elements, uncorrected comes out at -1.417 eV/atom. As for the space group: C2/m.

Lattice parameters (Å, degrees): 7.3000 7.3000 7.4876 99.34 99.34 119.89
Positions (direct):
1 Y 0.0732 0.3981 0.2206
2 Y 0.2497 0.2497 0.7775
3 Y 0.3981 0.0732 0.2206
4 Y 0.6019 0.9268 0.7794
5 Y 0.7503 0.7503 0.2225
6 Y 0.9268 0.6019 0.7794
7 Ga 0.0000 0.0000 0.0000
8 Te 0.1698 0.8302 0.5000
9 Te 0.5000 0.5000 0.5000
10 Te 0.8302 0.1698 0.5000
11 Se 0.3341 0.6659 0.0000
12 Se 0.6659 0.3341 0.0000



Here is a relaxed structure of Mg2InNi from the Alexandria database. Energies are from PBE.

Results
The calculation puts the formation energy at 0.5 kcal/mol of atoms. As for the space group: R-3m.

Lattice parameters (Å, degrees): 9.1632 9.1632 9.1632 19.84 19.84 19.84
Positions (direct):
1 Mg 0.2370 0.2370 0.2370
2 Mg 0.7630 0.7630 0.7630
3 In 0.0000 0.0000 0.0000
4 Ni 0.5000 0.5000 0.5000



Here is a relaxed structure of NiSe2Br from the Alexandria database. Energies are from PBE.

Results
The energy above the most stable polymorph in this dataset is 6.4 kJ/mol of atoms. The energy relative to the elements, uncorrected comes out at -0.172 eV/atom. As for the space group: R-3m.

Lattice parameters (Å, degrees): 7.3226 7.3226 7.3226 28.97 28.97 28.97
Positions (direct):
1 Ni 0.0000 0.0000 0.0000
2 Se 0.2785 0.2785 0.2785
3 Se 0.7215 0.7215 0.7215
4 Br 0.5000 0.5000 0.5000



Here is a relaxed structure of BeNbS2 from the Alexandria database. Energies are from PBE.

Results
The energy relative to the elements, uncorrected comes out at -0.514 eV/atom. As for the space group: R-3m.

Lattice parameters (Å, degrees): 7.4442 7.4442 7.4442 25.62 25.62 25.62
Positions (direct):
1 Be 0.0000 0.0000 0.0000
2 Nb 0.5000 0.5000 0.5000
3 S 0.0908 0.0908 0.0908
4 S 0.9092 0.9092 0.9092



Here is a relaxed structure of GeIr3Se from the Alexandria database. Energies are from PBE.

Results
The energy above the most stable polymorph in this dataset is 0.0 kJ/mol of atoms. The energy relative to the elements, uncorrected comes out at 1.236 eV/atom. As for the space group: Pm-3m.

Lattice parameters (Å, degrees): 4.6243 4.6243 4.6243 90.00 90.00 90.00
Positions (direct):
1 Ge 0.0000 0.0000 0.0000
2 Ir 0.0000 0.5000 0.5000
3 Ir 0.5000 0.0000 0.5000
4 Ir 0.5000 0.5000 0.0000
5 Se 0.5000 0.5000 0.5000



Number 1: VASP energy -6.206 eV per atom, magnetization 0.002 μB per formula unit, volume 452.6 Å³ per cell. Number 2: VASP energy -3.963 eV per atom, magnetization 0.000 μB per formula unit, volume 244.8 Å³ per cell. Number 3: VASP energy -5.572 eV per atom, magnetization 0.000 μB per formula unit, volume 254.2 Å³ per cell. Number 4: VASP energy -6.267 eV per atom, magnetization 0.000 μB per formula unit, volume 327.3 Å³ per cell. Number 5: VASP energy -2.905 eV per atom, magnetization 0.001 μB per formula unit, volume 77.5 Å³ per cell. Number 6: VASP energy -3.778 eV per atom, magnetization 0.000 μB per formula unit, volume 81.5 Å³ per cell. Number 7: VASP energy -6.027 eV per atom, magnetization 0.000 μB per formula unit, volume 67.9 Å³ per cell. Number 8: VASP energy -5.701 eV per atom, magnetization 0.000 μB per formula unit, volume 98.9 Å³ per cell.